Entry 1:
# Y2Sb2O

Crystalline Y2Sb2O at its relaxed geometry (PBE-GGA, the Alexandria database).

Formation energy without anion corrections, kJ/mol of formula units: -841
Calculated density, Mg/m³: 5.8
DOS(E_F), states/eV/f.u.: 1.07
Final energy, eV for the cell shown: -139.4
Crystal system: monoclinic
Size of the total moment, μB/f.u.: 0.00

Cell: 13.2367 4.1082 11.0021 Å, 90.00 122.64 90.00°
Space group C2/m (No. 12)
One atom of each set of equivalent atoms:
Y  0.0283  0.0000  0.1924
Y  0.1981  0.0000  0.5865
Sb  0.0469  0.5000  0.6554
Sb  0.1307  0.5000  0.0607
O  0.2103  0.0000  0.3906

=====

Entry 2:
# YbSbO4

Crystalline YbSbO4 at its relaxed geometry (PBE-GGA, the Alexandria database).

Formation energy without anion corrections, kJ/mol of formula units: -1178
Calculated density, Mg/m³: 7.7
DOS(E_F), states/eV/f.u.: 7.83
Final energy, eV for the cell shown: -150.8
Crystal system: monoclinic
Size of the total moment, μB/f.u.: 1.03

Cell: 7.6999 5.3786 7.5488 Å, 90.00 98.82 90.00°
Space group P2_1/c (No. 14)
One atom of each set of equivalent atoms:
Yb  0.1422  0.2255  0.3900
Sb  0.3379  0.7303  0.1929
O  0.1170  0.5201  0.1719
O  0.1707  0.0057  0.1211
O  0.3300  0.6194  0.9378
O  0.4336  0.0935  0.8092